PaVSe | GGA-PBE | optimized geometry Values from VASP.

```
&SYSTEM
  ibrav = 0, nat = 6, ntyp = 3
/
ATOMIC_SPECIES
Se 78.96 Se.upf
V 50.94 V.upf
Pa 231.04 Pa.upf
CELL_PARAMETERS angstrom
-1.8822 2.8688 -1.4068
-1.7733 -2.2952 -2.3078
-6.6775 -1.2537 6.3778
ATOMIC_POSITIONS angstrom
Se -5.0274 0.6672 3.1994
Se -3.4779 -1.6341 1.3211
V -0.0005 -0.0001 0.0005
Pa -5.8666 -2.0826 3.6026
V -8.5048 -0.9668 4.5201
Pa -2.6387 1.1157 0.9180
```

Uncorrected energy (eV for the cell shown): -46.124
Total magnetic moment (Bohr magnetons per cell): 0.0
DOS(E_F) (states/eV/f.u.): 4.56
ΔE to the lowest computed polymorph (meV/atom): 131
Formation energy from raw total energies (eV per atom): -0.321